Record 1
Density functional theory data (PBE) for CaPt2Au9 after structural relaxation.

Lattice parameters (Å, degrees): 8.8251 8.8251 8.8251 99.88 99.88 131.05
With the nearest neighbours (Å) after each atom.
Atoms (fractional coordinates):
Ca  0.3750  0.6250  0.7500  18 Au 3.46-3.67
Ca  0.6250  0.3750  0.2500  18 Au 3.46-3.67
Pt  0.0000  0.0000  0.0000  10 Au 2.78-2.98
Pt  0.0000  0.0000  0.5000  10 Au 2.78-2.98
Pt  0.0000  0.5000  0.0000  10 Au 2.78-2.98
Pt  0.5000  0.0000  0.5000  10 Au 2.78-2.98
Au  0.1250  0.8750  0.2500  4 Pt 2.98, 8 Au 3.04
Au  0.1287  0.5559  0.3321  6 Au 2.73-3.04, 2 Pt 2.78-2.79
Au  0.1287  0.7965  0.5727  6 Au 2.73-3.04, 2 Pt 2.78-2.79
Au  0.2035  0.2762  0.3321  6 Au 2.73-3.04, 2 Pt 2.78-2.79
Au  0.2035  0.8713  0.9273  6 Au 2.73-3.04, 2 Pt 2.78-2.79
Au  0.2762  0.2035  0.8321  6 Au 2.73-3.04, 2 Pt 2.78-2.79
Au  0.2762  0.4441  0.0727  6 Au 2.73-3.04, 2 Pt 2.78-2.79
Au  0.4441  0.2762  0.5727  6 Au 2.73-3.04, 2 Pt 2.78-2.79
Au  0.4441  0.8713  0.1679  6 Au 2.73-3.04, 2 Pt 2.78-2.79
Au  0.5559  0.1287  0.8321  6 Au 2.73-3.04, 2 Pt 2.78-2.79
Au  0.5559  0.7238  0.4273  6 Au 2.73-3.04, 2 Pt 2.78-2.79
Au  0.7238  0.5559  0.9273  6 Au 2.73-3.04, 2 Pt 2.78-2.79
Au  0.7238  0.7965  0.1679  6 Au 2.73-3.04, 2 Pt 2.78-2.79
Au  0.7965  0.1287  0.0727  6 Au 2.73-3.04, 2 Pt 2.78-2.79
Au  0.7965  0.7238  0.6679  6 Au 2.73-3.04, 2 Pt 2.78-2.79
Au  0.8713  0.2035  0.4273  6 Au 2.73-3.04, 2 Pt 2.78-2.79
Au  0.8713  0.4441  0.6679  6 Au 2.73-3.04, 2 Pt 2.78-2.79
Au  0.8750  0.1250  0.7500  4 Pt 2.98, 8 Au 3.04

- Total energy: -3.77 eV per atom
- Formation energy: -0.14 eV/atom

Record 2
Density functional theory data (PBE) for Ca5Pt4Au after structural relaxation.

Lattice parameters (Å, degrees): 3.5285 3.5285 17.6082 90.00 90.00 90.00
With the nearest neighbours (Å) after each atom.
Atoms (fractional coordinates):
Ca  0.0000  0.0000  0.0000  8 Pt 3.03
Ca  0.0000  0.0000  0.1936  8 Pt 3.01-3.06
Ca  0.0000  0.0000  0.3879  4 Pt 3.00, 4 Au 3.18
Ca  0.0000  0.0000  0.6121  4 Pt 3.00, 4 Au 3.18
Ca  0.0000  0.0000  0.8064  8 Pt 3.01-3.06
Pt  0.5000  0.5000  0.0978  8 Ca 3.01-3.03
Pt  0.5000  0.5000  0.2937  8 Ca 3.00-3.06
Pt  0.5000  0.5000  0.7063  8 Ca 3.00-3.06
Pt  0.5000  0.5000  0.9022  8 Ca 3.01-3.03
Au  0.5000  0.5000  0.5000  8 Ca 3.18, 4 Au 3.53

- Total energy: -4.61 eV per atom
- Formation energy: -0.87 eV/atom

Question: What is the total energy in the second record?
Answer: -4.61 eV per atom